# CrCoO | Alexandria | PBE+U | relaxed
data_CrCoO
_space_group_name_H-M_alt 'P 4/n m m'
_space_group_IT_number 129
_cell_length_a 2.960
_cell_length_b 2.960
_cell_length_c 8.044
_cell_angle_alpha 90.00
_cell_angle_beta 90.00
_cell_angle_gamma 90.00
loop_
_space_group_symop_operation_xyz
'x,y,z'
'-x,-y,-z'
'-y+1/2,x,z'
'y+1/2,-x,-z'
'-x+1/2,-y+1/2,z'
'x+1/2,y+1/2,-z'
'y,-x+1/2,z'
'-y,x+1/2,-z'
'x+1/2,-y,-z'
'-x+1/2,y,z'
'-y,-x,-z'
'y,x,z'
'-x,y+1/2,-z'
'x,-y+1/2,z'
'y+1/2,x+1/2,-z'
'-y+1/2,-x+1/2,z'
loop_
_atom_site_label
_atom_site_fract_x
_atom_site_fract_y
_atom_site_fract_z
Cr1 0.250 0.250 0.175
Co1 0.250 0.250 0.569
O1 0.250 0.250 0.848
# relative energy among the computed polymorphs = 0 meV/atom
# Fermi-level density of states = 0.50 states/eV/atom
# magnetic moment = 11.41 μB per cell